Record 1
## P3Au2 (PBE)

Data for a relaxed structure of P3Au2.

The structure in CIF format:
```
data_P3Au2
_chemical_formula_sum 'P24 Au16'
_cell_length_a 10.202
_cell_length_b 10.928
_cell_length_c 6.301
_cell_angle_alpha 90.00
_cell_angle_beta 90.00
_cell_angle_gamma 90.00
_symmetry_space_group_name_H-M 'F d d 2'
_symmetry_Int_Tables_number 43
_symmetry_space_group_name_Hall 'F 2 -2d'
loop_
_atom_site_label
_atom_site_fract_x
_atom_site_fract_y
_atom_site_fract_z
_atom_site_occupancy
P1 0.000 0.000 0.000 1
P2 0.081 0.211 0.994 1
Au1 0.123 0.197 0.608 1
```

Values from the calculation:
ΔE to the lowest computed polymorph = 323 meV/atom
energy of formation = 0.21 eV/atom



Record 2
## CrIr6Rh12 (PBE)

Data for a relaxed structure of CrIr6Rh12.

The structure in CIF format:
```
data_CrIr6Rh12
_chemical_formula_sum 'Cr3 Ir18 Rh36'
_cell_length_a 9.2816
_cell_length_b 9.2816
_cell_length_c 11.1941
_cell_angle_alpha 90.00
_cell_angle_beta 90.00
_cell_angle_gamma 120.00
_symmetry_space_group_name_H-M 'R -3'
_symmetry_Int_Tables_number 148
_symmetry_space_group_name_Hall '-R 3'
loop_
_atom_site_label
_atom_site_fract_x
_atom_site_fract_y
_atom_site_fract_z
_atom_site_occupancy
Cr1 0.0000 0.0000 0.0000 1
Ir1 0.0300 0.5896 0.7031 1
Rh1 0.0382 0.8555 0.8125 1
Rh2 0.0626 0.2113 0.4125 1
```

Values from the calculation:
energy of formation = 0.13 eV/atom



Record 3
## CeBeGe (PBE)

Data for a relaxed structure of CeBeGe.

The structure in CIF format:
```
data_CeBeGe
_chemical_formula_sum 'Ce2 Be2 Ge2'
_cell_length_a 3.194
_cell_length_b 3.194
_cell_length_c 10.728
_cell_angle_alpha 90.00
_cell_angle_beta 90.00
_cell_angle_gamma 90.00
_symmetry_space_group_name_H-M 'I 4 m m'
_symmetry_Int_Tables_number 107
_symmetry_space_group_name_Hall 'I 4 -2'
loop_
_atom_site_label
_atom_site_fract_x
_atom_site_fract_y
_atom_site_fract_z
_atom_site_occupancy
Ce1 0.000 0.000 0.000 1
Be1 0.000 0.000 0.694 1
Ge1 0.000 0.000 0.289 1
```

Values from the calculation:
energy of formation = -0.05 eV/atom